# PBE-GGA PmHoRh, optimized geometry
# * polymorph energy (0 for the lowest one): 0.072 eV per atom
# * theoretical density: 8.16 Mg/m³
# * formation enthalpy at 0 K: -49 kJ/mol of atoms
# * total magnetic moment: 0.0 μB per formula unit
# * VASP energy: -6.068 eV per atom
data_PmHoRh
_chemical_formula_sum 'Pm4 Ho4 Rh4'
_space_group_name_H-M_alt 'P 1 21/c 1'
_space_group_IT_number 14
_space_group_name_Hall '-P 2ybc'
_cell_length_a 6.951
_cell_length_b 5.991
_cell_length_c 10.365
_cell_angle_alpha 90.00
_cell_angle_beta 128.91
_cell_angle_gamma 90.00
loop_
_atom_site_label
_atom_site_fract_x
_atom_site_fract_y
_atom_site_fract_z
_atom_site_occupancy
Pm1 0.187 0.135 0.383 1
Ho1 0.334 0.619 0.630 1
Rh1 0.334 0.667 0.364 1


# PBE-GGA Pm2HoRh, optimized geometry
# * polymorph energy (0 for the lowest one): 0.000 eV per atom
# * theoretical density: 8.21 Mg/m³
# * formation enthalpy at 0 K: -45 kJ/mol of atoms
# * total magnetic moment: 0.0 μB per formula unit
# * VASP energy: -5.827 eV per atom
data_Pm2HoRh
_chemical_formula_sum 'Pm8 Ho4 Rh4'
_space_group_name_H-M_alt 'P n m a'
_space_group_IT_number 62
_space_group_name_Hall '-P 2ac 2n'
_cell_length_a 7.244
_cell_length_b 9.859
_cell_length_c 6.321
_cell_angle_alpha 90.00
_cell_angle_beta 90.00
_cell_angle_gamma 90.00
loop_
_atom_site_label
_atom_site_fract_x
_atom_site_fract_y
_atom_site_fract_z
_atom_site_occupancy
Pm1 0.179 0.065 0.170 1
Ho1 0.037 0.250 0.649 1
Rh1 0.122 0.750 0.946 1


# PBE-GGA Pm4HoRh4, optimized geometry
# * theoretical density: 8.48 Mg/m³
# * formation enthalpy at 0 K: -58 kJ/mol of atoms
# * total magnetic moment: 0.0 μB per formula unit
# * VASP energy: -6.488 eV per atom
data_Pm4HoRh4
_chemical_formula_sum 'Pm8 Ho2 Rh8'
_space_group_name_H-M_alt 'P 42/n'
_space_group_IT_number 86
_cell_length_a 8.878
_cell_length_b 8.878
_cell_length_c 5.749
_cell_angle_alpha 90.00
_cell_angle_beta 90.00
_cell_angle_gamma 90.00
loop_
_space_group_symop_operation_xyz
'x,y,z'
'-x,-y,-z'
'-y,x+1/2,z+1/2'
'y,-x+1/2,-z+1/2'
'-x+1/2,-y+1/2,z'
'x+1/2,y+1/2,-z'
'y+1/2,-x,z+1/2'
'-y+1/2,x,-z+1/2'
loop_
_atom_site_label
_atom_site_fract_x
_atom_site_fract_y
_atom_site_fract_z
_atom_site_occupancy
Pm1 0.060 0.668 0.154 1
Ho1 0.250 0.250 0.250 1
Rh1 0.021 0.630 0.647 1


# PBE-GGA PmHo5Rh4, optimized geometry
# * theoretical density: 8.98 Mg/m³
# * formation enthalpy at 0 K: -63 kJ/mol of atoms
# * total magnetic moment: 0.0 μB per formula unit
# * VASP energy: -6.356 eV per atom
data_PmHo5Rh4
_chemical_formula_sum 'Pm2 Ho10 Rh8'
_space_group_name_H-M_alt 'C 1 2/m 1'
_space_group_IT_number 12
_space_group_name_Hall '-C 2y'
_cell_length_a 17.928
_cell_length_b 4.259
_cell_length_c 7.322
_cell_angle_alpha 90.00
_cell_angle_beta 114.05
_cell_angle_gamma 90.00
loop_
_atom_site_label
_atom_site_fract_x
_atom_site_fract_y
_atom_site_fract_z
_atom_site_occupancy
Pm1 0.000 0.000 0.000 1
Ho1 0.000 0.000 0.500 1
Ho2 0.165 0.500 0.409 1
Ho3 0.166 0.500 0.922 1
Rh1 0.000 0.500 0.268 1
Rh2 0.200 0.000 0.200 1


# PBE-GGA Pm2Ho3Rh2, optimized geometry
# * theoretical density: 8.85 Mg/m³
# * formation enthalpy at 0 K: -54 kJ/mol of atoms
# * total magnetic moment: 0.0 μB per formula unit
# * VASP energy: -5.984 eV per atom
data_Pm2Ho3Rh2
_chemical_formula_sum 'Pm4 Ho6 Rh4'
_space_group_name_H-M_alt 'C 1 2/m 1'
_space_group_IT_number 12
_space_group_name_Hall '-C 2y'
_cell_length_a 12.200
_cell_length_b 3.775
_cell_length_c 9.018
_cell_angle_alpha 90.00
_cell_angle_beta 116.50
_cell_angle_gamma 90.00
loop_
_atom_site_label
_atom_site_fract_x
_atom_site_fract_y
_atom_site_fract_z
_atom_site_occupancy
Pm1 0.165 0.000 0.307 1
Ho1 0.000 0.500 0.500 1
Ho2 0.117 0.500 0.930 1
Rh1 0.172 0.000 0.742 1


# PBE-GGA PmHoRh, optimized geometry
# * polymorph energy (0 for the lowest one): 0.073 eV per atom
# * theoretical density: 8.83 Mg/m³
# * formation enthalpy at 0 K: -49 kJ/mol of atoms
# * total magnetic moment: 0.0 μB per formula unit
# * VASP energy: -6.067 eV per atom
data_PmHoRh
_chemical_formula_sum 'Pm2 Ho2 Rh2'
_space_group_name_H-M_alt 'I 4 m m'
_space_group_IT_number 107
_space_group_name_Hall 'I 4 -2'
_cell_length_a 3.485
_cell_length_b 3.485
_cell_length_c 12.783
_cell_angle_alpha 90.00
_cell_angle_beta 90.00
_cell_angle_gamma 90.00
loop_
_atom_site_label
_atom_site_fract_x
_atom_site_fract_y
_atom_site_fract_z
_atom_site_occupancy
Pm1 0.000 0.000 0.000 1
Ho1 0.000 0.000 0.740 1
Rh1 0.000 0.000 0.361 1


# PBE-GGA PmHoRh, optimized geometry
# * polymorph energy (0 for the lowest one): 0.000 eV per atom
# * theoretical density: 9.11 Mg/m³
# * formation enthalpy at 0 K: -56 kJ/mol of atoms
# * total magnetic moment: 0.0 μB per formula unit
# * VASP energy: -6.139 eV per atom
data_PmHoRh
_chemical_formula_sum 'Pm3 Ho3 Rh3'
_space_group_name_H-M_alt 'P -6 2 m'
_space_group_IT_number 189
_space_group_name_Hall 'P -6 -2'
_cell_length_a 7.4372
_cell_length_b 7.4372
_cell_length_c 4.7113
_cell_angle_alpha 90.00
_cell_angle_beta 90.00
_cell_angle_gamma 120.00
loop_
_atom_site_label
_atom_site_fract_x
_atom_site_fract_y
_atom_site_fract_z
_atom_site_occupancy
Pm1 0.0000 0.5945 0.0000 1
Ho1 0.0000 0.2635 0.5000 1
Rh1 0.0000 0.0000 0.0000 1
Rh2 0.3333 0.6667 0.5000 1


# PBE-GGA PmHo4Rh2, optimized geometry
# * theoretical density: 9.21 Mg/m³
# * formation enthalpy at 0 K: -46 kJ/mol of atoms
# * total magnetic moment: 0.0 μB per formula unit
# * VASP energy: -5.875 eV per atom
data_PmHo4Rh2
_chemical_formula_sum 'Pm2 Ho8 Rh4'
_space_group_name_H-M_alt 'P 1 21/m 1'
_space_group_IT_number 11
_space_group_name_Hall '-P 2yb'
_cell_length_a 7.791
_cell_length_b 6.420
_cell_length_c 7.902
_cell_angle_alpha 90.00
_cell_angle_beta 112.82
_cell_angle_gamma 90.00
loop_
_atom_site_label
_atom_site_fract_x
_atom_site_fract_y
_atom_site_fract_z
_atom_site_occupancy
Pm1 0.024 0.250 0.158 1
Ho1 0.241 0.502 0.589 1
Ho2 0.337 0.750 0.253 1
Ho3 0.384 0.250 0.015 1
Rh1 0.009 0.250 0.735 1
Rh2 0.412 0.250 0.372 1


# PBE-GGA Pm3HoRh, optimized geometry
# * polymorph energy (0 for the lowest one): 0.158 eV per atom
# * theoretical density: 6.89 Mg/m³
# * formation enthalpy at 0 K: -11 kJ/mol of atoms
# * total magnetic moment: 0.3 μB per formula unit
# * VASP energy: -5.353 eV per atom
data_Pm3HoRh
_chemical_formula_sum 'Pm3 Ho1 Rh1'
_space_group_name_H-M_alt 'P m -3 m'
_space_group_IT_number 221
_space_group_name_Hall '-P 4 2 3'
_cell_length_a 5.532
_cell_length_b 5.532
_cell_length_c 5.532
_cell_angle_alpha 90.00
_cell_angle_beta 90.00
_cell_angle_gamma 90.00
loop_
_atom_site_label
_atom_site_fract_x
_atom_site_fract_y
_atom_site_fract_z
_atom_site_occupancy
Pm1 0.000 0.000 0.500 1
Ho1 0.500 0.500 0.500 1
Rh1 0.000 0.000 0.000 1


# PBE-GGA PmHoRh, optimized geometry
# * polymorph energy (0 for the lowest one): 0.095 eV per atom
# * theoretical density: 7.72 Mg/m³
# * formation enthalpy at 0 K: -47 kJ/mol of atoms
# * total magnetic moment: 0.0 μB per formula unit
# * VASP energy: -6.045 eV per atom
data_PmHoRh
_chemical_formula_sum 'Pm1 Ho1 Rh1'
_space_group_name_H-M_alt 'P 3 m 1'
_space_group_IT_number 156
_space_group_name_Hall 'P 3 -2"'
_cell_length_a 4.0546
_cell_length_b 4.0546
_cell_length_c 6.2402
_cell_angle_alpha 90.00
_cell_angle_beta 90.00
_cell_angle_gamma 120.00
loop_
_atom_site_label
_atom_site_fract_x
_atom_site_fract_y
_atom_site_fract_z
_atom_site_occupancy
Pm1 0.0000 0.0000 0.0000 1
Ho1 0.3333 0.6667 0.5217 1
Rh1 0.6667 0.3333 0.7505 1


# PBE-GGA Pm2HoRh3, optimized geometry
# * theoretical density: 10.01 Mg/m³
# * formation enthalpy at 0 K: -72 kJ/mol of atoms
# * total magnetic moment: 0.0 μB per formula unit
# * VASP energy: -6.772 eV per atom
data_Pm2HoRh3
_chemical_formula_sum 'Pm2 Ho1 Rh3'
_space_group_name_H-M_alt 'P 4/m m m'
_space_group_IT_number 123
_space_group_name_Hall '-P 4 2'
_cell_length_a 3.471
_cell_length_b 3.471
_cell_length_c 10.514
_cell_angle_alpha 90.00
_cell_angle_beta 90.00
_cell_angle_gamma 90.00
loop_
_atom_site_label
_atom_site_fract_x
_atom_site_fract_y
_atom_site_fract_z
_atom_site_occupancy
Pm1 0.000 0.000 0.170 1
Ho1 0.000 0.000 0.500 1
Rh1 0.500 0.500 0.000 1
Rh2 0.500 0.500 0.342 1


# PBE-GGA PmHo4Rh4, optimized geometry
# * theoretical density: 9.20 Mg/m³
# * formation enthalpy at 0 K: -64 kJ/mol of atoms
# * total magnetic moment: 0.0 μB per formula unit
# * VASP energy: -6.491 eV per atom
data_PmHo4Rh4
_chemical_formula_sum 'Pm2 Ho8 Rh8'
_space_group_name_H-M_alt 'P 42/n'
_space_group_IT_number 86
_cell_length_a 8.855
_cell_length_b 8.855
_cell_length_c 5.597
_cell_angle_alpha 90.00
_cell_angle_beta 90.00
_cell_angle_gamma 90.00
loop_
_space_group_symop_operation_xyz
'x,y,z'
'-x,-y,-z'
'-y,x+1/2,z+1/2'
'y,-x+1/2,-z+1/2'
'-x+1/2,-y+1/2,z'
'x+1/2,y+1/2,-z'
'y+1/2,-x,z+1/2'
'-y+1/2,x,-z+1/2'
loop_
_atom_site_label
_atom_site_fract_x
_atom_site_fract_y
_atom_site_fract_z
_atom_site_occupancy
Pm1 0.250 0.250 0.250 1
Ho1 0.074 0.658 0.164 1
Rh1 0.034 0.622 0.661 1


# PBE-GGA Pm3HoRh3, optimized geometry
# * theoretical density: 8.79 Mg/m³
# * formation enthalpy at 0 K: -59 kJ/mol of atoms
# * total magnetic moment: 0.0 μB per formula unit
# * VASP energy: -6.449 eV per atom
data_Pm3HoRh3
_chemical_formula_sum 'Pm12 Ho4 Rh12'
_space_group_name_H-M_alt 'C 1 2/m 1'
_space_group_IT_number 12
_space_group_name_Hall '-C 2y'
_cell_length_a 9.332
_cell_length_b 10.398
_cell_length_c 7.074
_cell_angle_alpha 90.00
_cell_angle_beta 90.64
_cell_angle_gamma 90.00
loop_
_atom_site_label
_atom_site_fract_x
_atom_site_fract_y
_atom_site_fract_z
_atom_site_occupancy
Pm1 0.000 0.181 0.000 1
Pm2 0.000 0.252 0.500 1
Pm3 0.171 0.500 0.880 1
Ho1 0.241 0.000 0.622 1
Rh1 0.061 0.000 0.303 1
Rh2 0.246 0.254 0.229 1


# PBE-GGA Pm2HoRh3, optimized geometry
# * theoretical density: 10.00 Mg/m³
# * formation enthalpy at 0 K: -72 kJ/mol of atoms
# * total magnetic moment: 0.0 μB per formula unit
# * VASP energy: -6.774 eV per atom
data_Pm2HoRh3
_chemical_formula_sum 'Pm4 Ho2 Rh6'
_space_group_name_H-M_alt 'P 1 2/m 1'
_space_group_IT_number 10
_space_group_name_Hall '-P 2y'
_cell_length_a 4.891
_cell_length_b 7.059
_cell_length_c 7.737
_cell_angle_alpha 90.00
_cell_angle_beta 108.35
_cell_angle_gamma 90.00
loop_
_atom_site_label
_atom_site_fract_x
_atom_site_fract_y
_atom_site_fract_z
_atom_site_occupancy
Pm1 0.000 0.000 0.000 1
Pm2 0.000 0.500 0.000 1
Pm3 0.333 0.000 0.666 1
Ho1 0.332 0.500 0.664 1
Rh1 0.169 0.259 0.338 1
Rh2 0.500 0.256 0.000 1


# PBE-GGA PmHoRh, optimized geometry
# * polymorph energy (0 for the lowest one): 0.049 eV per atom
# * theoretical density: 8.45 Mg/m³
# * formation enthalpy at 0 K: -51 kJ/mol of atoms
# * total magnetic moment: 0.0 μB per formula unit
# * VASP energy: -6.090 eV per atom
data_PmHoRh
_chemical_formula_sum 'Pm4 Ho4 Rh4'
_space_group_name_H-M_alt 'F -4 3 m'
_space_group_IT_number 216
_space_group_name_Hall 'F -4 2 3'
_cell_length_a 6.871
_cell_length_b 6.871
_cell_length_c 6.871
_cell_angle_alpha 90.00
_cell_angle_beta 90.00
_cell_angle_gamma 90.00
loop_
_atom_site_label
_atom_site_fract_x
_atom_site_fract_y
_atom_site_fract_z
_atom_site_occupancy
Pm1 0.000 0.000 0.000 1
Ho1 0.000 0.000 0.500 1
Rh1 0.250 0.250 0.250 1


# PBE-GGA Pm2HoRh, optimized geometry
# * polymorph energy (0 for the lowest one): 0.394 eV per atom
# * theoretical density: 7.41 Mg/m³
# * formation enthalpy at 0 K: -7 kJ/mol of atoms
# * total magnetic moment: 0.0 μB per formula unit
# * VASP energy: -5.433 eV per atom
data_Pm2HoRh
_chemical_formula_sum 'Pm6 Ho3 Rh3'
_space_group_name_H-M_alt 'R -3 m'
_space_group_IT_number 166
_space_group_name_Hall '-R 3 2"'
_cell_length_a 3.6870
_cell_length_b 3.6870
_cell_length_c 31.8443
_cell_angle_alpha 90.00
_cell_angle_beta 90.00
_cell_angle_gamma 120.00
loop_
_atom_site_label
_atom_site_fract_x
_atom_site_fract_y
_atom_site_fract_z
_atom_site_occupancy
Pm1 0.0000 0.0000 0.1094 1
Ho1 0.0000 0.0000 0.0000 1
Rh1 0.0000 0.0000 0.5000 1


# PBE-GGA PmHoRh4, optimized geometry
# * theoretical density: 10.98 Mg/m³
# * formation enthalpy at 0 K: -69 kJ/mol of atoms
# * total magnetic moment: 0.0 μB per formula unit
# * VASP energy: -7.166 eV per atom
data_PmHoRh4
_chemical_formula_sum 'Pm4 Ho4 Rh16'
_space_group_name_H-M_alt 'F -4 3 m'
_space_group_IT_number 216
_space_group_name_Hall 'F -4 2 3'
_cell_length_a 7.585
_cell_length_b 7.585
_cell_length_c 7.585
_cell_angle_alpha 90.00
_cell_angle_beta 90.00
_cell_angle_gamma 90.00
loop_
_atom_site_label
_atom_site_fract_x
_atom_site_fract_y
_atom_site_fract_z
_atom_site_occupancy
Pm1 0.000 0.000 0.000 1
Ho1 0.250 0.250 0.750 1
Rh1 0.125 0.125 0.375 1


# PBE-GGA PmHoRh2, optimized geometry
# * polymorph energy (0 for the lowest one): 0.005 eV per atom
# * theoretical density: 10.29 Mg/m³
# * formation enthalpy at 0 K: -75 kJ/mol of atoms
# * total magnetic moment: 0.0 μB per formula unit
# * VASP energy: -6.790 eV per atom
data_PmHoRh2
_chemical_formula_sum 'Pm1 Ho1 Rh2'
_space_group_name_H-M_alt 'P 4/m m m'
_space_group_IT_number 123
_space_group_name_Hall '-P 4 2'
_cell_length_a 4.863
_cell_length_b 4.863
_cell_length_c 3.519
_cell_angle_alpha 90.00
_cell_angle_beta 90.00
_cell_angle_gamma 90.00
loop_
_atom_site_label
_atom_site_fract_x
_atom_site_fract_y
_atom_site_fract_z
_atom_site_occupancy
Pm1 0.000 0.000 0.000 1
Ho1 0.500 0.500 0.000 1
Rh1 0.000 0.500 0.500 1


# PBE-GGA PmHo4Rh5, optimized geometry
# * theoretical density: 10.84 Mg/m³
# * formation enthalpy at 0 K: -82 kJ/mol of atoms
# * total magnetic moment: 0.0 μB per formula unit
# * VASP energy: -6.833 eV per atom
data_PmHo4Rh5
_chemical_formula_sum 'Pm1 Ho4 Rh5'
_space_group_name_H-M_alt 'P 4/m m m'
_space_group_IT_number 123
_space_group_name_Hall '-P 4 2'
_cell_length_a 3.395
_cell_length_b 3.395
_cell_length_c 17.521
_cell_angle_alpha 90.00
_cell_angle_beta 90.00
_cell_angle_gamma 90.00
loop_
_atom_site_label
_atom_site_fract_x
_atom_site_fract_y
_atom_site_fract_z
_atom_site_occupancy
Pm1 0.000 0.000 0.000 1
Ho1 0.000 0.000 0.204 1
Ho2 0.000 0.000 0.401 1
Rh1 0.500 0.500 0.107 1
Rh2 0.500 0.500 0.303 1
Rh3 0.500 0.500 0.500 1


# PBE-GGA Pm5Ho2Rh4, optimized geometry
# * theoretical density: 8.26 Mg/m³
# * formation enthalpy at 0 K: -53 kJ/mol of atoms
# * total magnetic moment: 0.0 μB per formula unit
# * VASP energy: -6.211 eV per atom
data_Pm5Ho2Rh4
_chemical_formula_sum 'Pm10 Ho4 Rh8'
_space_group_name_H-M_alt 'C 1 2/m 1'
_space_group_IT_number 12
_space_group_name_Hall '-C 2y'
_cell_length_a 22.171
_cell_length_b 4.354
_cell_length_c 6.112
_cell_angle_alpha 90.00
_cell_angle_beta 92.54
_cell_angle_gamma 90.00
loop_
_atom_site_label
_atom_site_fract_x
_atom_site_fract_y
_atom_site_fract_z
_atom_site_occupancy
Pm1 0.000 0.000 0.000 1
Pm2 0.085 0.000 0.516 1
Pm3 0.122 0.500 0.006 1
Ho1 0.241 0.000 0.264 1
Rh1 0.005 0.500 0.716 1
Rh2 0.187 0.000 0.821 1